one | Here is a relaxed structure of HfNi2N from Alexandria. Energies are from PBE.

## Properties
DOS(E_F)	11.3	states/eV/cell

```
data_HfNi2N
_symmetry_space_group_name_H-M 'I -4 2 d'
_symmetry_Int_Tables_number 122
_symmetry_space_group_name_Hall 'I -4 2bw'
_cell_length_a 5.439
_cell_length_b 5.439
_cell_length_c 7.649
_cell_angle_alpha 90.00
_cell_angle_beta 90.00
_cell_angle_gamma 90.00
loop_
_atom_site_label
_atom_site_type_symbol
_atom_site_fract_x
_atom_site_fract_y
_atom_site_fract_z
Hf1 Hf 0.000 0.000 0.000
Ni1 Ni 0.121 0.250 0.625
N1 N 0.000 0.000 0.500
```


two | Here is a relaxed structure of HfNi2N from Alexandria. Energies are from PBE.

## Properties
DOS(E_F)	8.3	states/eV/cell

```
data_HfNi2N
_symmetry_space_group_name_H-M 'F m -3 m'
_symmetry_Int_Tables_number 225
_symmetry_space_group_name_Hall '-F 4 2 3'
_cell_length_a 5.822
_cell_length_b 5.822
_cell_length_c 5.822
_cell_angle_alpha 90.00
_cell_angle_beta 90.00
_cell_angle_gamma 90.00
loop_
_atom_site_label
_atom_site_type_symbol
_atom_site_fract_x
_atom_site_fract_y
_atom_site_fract_z
Hf1 Hf 0.000 0.000 0.000
Ni1 Ni 0.250 0.250 0.250
N1 N 0.000 0.000 0.500
```


Ordering by calculated energy gives the sequence one, two, with the first entry being the most stable.


one | Here is a relaxed structure of HfNi3N from Alexandria. Energies are from PBE.

## Properties
DOS(E_F)	2.9	states/eV/cell

```
data_HfNi3N
_symmetry_space_group_name_H-M 'P m -3 m'
_symmetry_Int_Tables_number 221
_symmetry_space_group_name_Hall '-P 4 2 3'
_cell_length_a 4.586
_cell_length_b 4.586
_cell_length_c 4.586
_cell_angle_alpha 90.00
_cell_angle_beta 90.00
_cell_angle_gamma 90.00
loop_
_atom_site_label
_atom_site_type_symbol
_atom_site_fract_x
_atom_site_fract_y
_atom_site_fract_z
Hf1 Hf 0.000 0.000 0.000
Ni1 Ni 0.000 0.000 0.500
N1 N 0.500 0.500 0.500
```


two | Here is a relaxed structure of HfNi3N from Alexandria. Energies are from PBE.

## Properties
DOS(E_F)	2.6	states/eV/cell

```
data_HfNi3N
_symmetry_space_group_name_H-M 'P m -3 m'
_symmetry_Int_Tables_number 221
_symmetry_space_group_name_Hall '-P 4 2 3'
_cell_length_a 3.884
_cell_length_b 3.884
_cell_length_c 3.884
_cell_angle_alpha 90.00
_cell_angle_beta 90.00
_cell_angle_gamma 90.00
loop_
_atom_site_label
_atom_site_type_symbol
_atom_site_fract_x
_atom_site_fract_y
_atom_site_fract_z
Hf1 Hf 0.000 0.000 0.000
Ni1 Ni 0.000 0.500 0.500
N1 N 0.500 0.500 0.500
```


Ordering by calculated energy gives the sequence two, one, with the first entry being the most stable.


one | Here is a relaxed structure of HfNiTe2N from Alexandria. Energies are from PBE.

## Properties
DOS(E_F)	7.8	states/eV/cell

```
data_HfNiTe2N
_symmetry_space_group_name_H-M 'P 4/m m m'
_symmetry_Int_Tables_number 123
_symmetry_space_group_name_Hall '-P 4 2'
_cell_length_a 5.677
_cell_length_b 5.677
_cell_length_c 3.911
_cell_angle_alpha 90.00
_cell_angle_beta 90.00
_cell_angle_gamma 90.00
loop_
_atom_site_label
_atom_site_type_symbol
_atom_site_fract_x
_atom_site_fract_y
_atom_site_fract_z
Hf1 Hf 0.000 0.000 0.000
Ni1 Ni 0.500 0.500 0.500
Te1 Te 0.000 0.500 0.000
N1 N 0.000 0.000 0.500
```


two | Here is a relaxed structure of HfNiTe2N from Alexandria. Energies are from PBE.

## Properties
DOS(E_F)	4.7	states/eV/cell

```
data_HfNiTe2N
_symmetry_space_group_name_H-M 'P 4/m m m'
_symmetry_Int_Tables_number 123
_symmetry_space_group_name_Hall '-P 4 2'
_cell_length_a 5.272
_cell_length_b 5.272
_cell_length_c 3.505
_cell_angle_alpha 90.00
_cell_angle_beta 90.00
_cell_angle_gamma 90.00
loop_
_atom_site_label
_atom_site_type_symbol
_atom_site_fract_x
_atom_site_fract_y
_atom_site_fract_z
Hf1 Hf 0.000 0.000 0.000
Ni1 Ni 0.500 0.500 0.500
Te1 Te 0.000 0.500 0.500
N1 N 0.500 0.500 0.000
```


Ordering by calculated energy gives the sequence two, one, with the first entry being the most stable.